[1]
CsC3Cl: relaxed, PBE.

The calculation puts the total energy at -2.00 eV per atom. Its space-group type is Pm-3m.

a b c (Å): 5.662 5.662 5.662
angles (deg): 90.00 90.00 90.00
Element x y z (fractional)
1 Cs 0.000 0.000 0.000
2 C 0.000 0.000 0.500
3 C 0.000 0.500 0.000
4 C 0.500 0.000 0.000
5 Cl 0.500 0.500 0.500

=====

[2]
MnMo2Ir: relaxed, PBE.

The calculation puts the total energy at -9.87 eV per atom. Its space-group type is C2/m.

a b c (Å): 4.911 4.911 4.557
angles (deg): 101.17 101.17 33.67
Element x y z (fractional)
1 Mn 0.000 0.000 0.000
2 Mo 0.246 0.246 0.746
3 Mo 0.754 0.754 0.254
4 Ir 0.500 0.500 0.500

=====

[3]
Ho3Tm2In6: relaxed, PBE.

The calculation puts the total energy at -3.45 eV per atom. Its space-group type is I4/mmm.

a b c (Å): 11.796 11.796 11.796
angles (deg): 151.83 151.83 40.26
Element x y z (fractional)
1 Ho 0.000 0.000 0.000
2 Ho 0.147 0.147 0.000
3 Ho 0.853 0.853 0.000
4 Tm 0.424 0.424 0.000
5 Tm 0.576 0.576 0.000
6 In 0.072 0.572 0.500
7 In 0.287 0.287 0.000
8 In 0.428 0.928 0.500
9 In 0.572 0.072 0.500
10 In 0.713 0.713 0.000
11 In 0.928 0.428 0.500

=====

[4]
Tl2Hg2Pd5: relaxed, PBE.

The calculation puts the total energy at -3.56 eV per atom. Its space-group type is Ima2.

a b c (Å): 8.868 8.868 8.868
angles (deg): 73.77 144.85 117.50
Element x y z (fractional)
1 Tl 0.035 0.128 0.163
2 Tl 0.035 0.372 0.407
3 Tl 0.965 0.628 0.593
4 Tl 0.965 0.872 0.837
5 Hg 0.453 0.748 0.205
6 Hg 0.502 0.002 0.500
7 Hg 0.502 0.502 0.000
8 Hg 0.543 0.248 0.795
9 Pd 0.000 0.998 0.502
10 Pd 0.003 0.202 0.703
11 Pd 0.003 0.800 0.301
12 Pd 0.496 0.498 0.498
13 Pd 0.499 0.300 0.297
14 Pd 0.499 0.702 0.699
15 Pd 0.502 0.099 0.103
16 Pd 0.502 0.898 0.902
17 Pd 0.996 0.398 0.897
18 Pd 0.996 0.599 0.098

=====

[5]
Be2InFe: relaxed, PBE.

The calculation puts the total energy at -4.49 eV per atom. Its space-group type is P4/mmm.

a b c (Å): 2.929 2.929 5.629
angles (deg): 90.00 90.00 90.00
Element x y z (fractional)
1 Be 0.000 0.000 0.178
2 Be 0.000 0.000 0.822
3 In 0.500 0.500 0.500
4 Fe 0.500 0.500 0.000

=====

[6]
Pm8Co3HBr4: relaxed, PBE.

The calculation puts the total energy at -5.07 eV per atom. Its space-group type is C2/m.

a b c (Å): 7.890 7.890 8.950
angles (deg): 116.13 116.13 60.06
Element x y z (fractional)
1 Pm 0.227 0.732 0.691
2 Pm 0.230 0.230 0.691
3 Pm 0.268 0.268 0.309
4 Pm 0.268 0.773 0.309
5 Pm 0.732 0.227 0.691
6 Pm 0.732 0.732 0.691
7 Pm 0.770 0.770 0.309
8 Pm 0.773 0.268 0.309
9 Co 0.000 0.000 0.500
10 Co 0.000 0.500 0.500
11 Co 0.500 0.000 0.500
12 H 0.500 0.500 0.500
13 Br 0.000 0.000 0.000
14 Br 0.000 0.500 0.000
15 Br 0.500 0.000 0.000
16 Br 0.500 0.500 0.000

=====

[7]
NaHgTe3: relaxed, PBE.

The calculation puts the total energy at -2.31 eV per atom. Its space-group type is R3c.

a b c (Å): 6.815 6.815 6.815
angles (deg): 80.87 80.87 80.87
Element x y z (fractional)
1 Na 0.000 0.000 0.000
2 Na 0.500 0.500 0.500
3 Hg 0.249 0.249 0.249
4 Hg 0.749 0.749 0.749
5 Te 0.111 0.499 0.887
6 Te 0.387 0.999 0.611
7 Te 0.499 0.887 0.111
8 Te 0.611 0.387 0.999
9 Te 0.887 0.111 0.499
10 Te 0.999 0.611 0.387

=====

[8]
CuRhCl2: relaxed, PBE.

The calculation puts the total energy at -3.43 eV per atom. Its space-group type is Fm-3m.

a b c (Å): 4.529 4.529 4.529
angles (deg): 60.00 60.00 60.00
Element x y z (fractional)
1 Cu 0.000 0.000 0.000
2 Rh 0.500 0.500 0.500
3 Cl 0.250 0.250 0.250
4 Cl 0.750 0.750 0.750

=====

[9]
Bi2SbCl: relaxed, PBE.

The calculation puts the total energy at -3.53 eV per atom. Its space-group type is I-42d.

a b c (Å): 6.923 6.923 6.923
angles (deg): 105.06 105.06 118.70
Element x y z (fractional)
1 Bi 0.110 0.625 0.985
2 Bi 0.375 0.360 0.485
3 Bi 0.640 0.125 0.015
4 Bi 0.875 0.890 0.515
5 Sb 0.000 0.000 0.000
6 Sb 0.750 0.250 0.500
7 Cl 0.250 0.750 0.500
8 Cl 0.500 0.500 0.000

=====

[10]
KBi2W: relaxed, PBE.

The calculation puts the total energy at -4.65 eV per atom. Its space-group type is Fm-3m.

a b c (Å): 5.266 5.266 5.266
angles (deg): 60.00 60.00 60.00
Element x y z (fractional)
1 K 0.000 0.000 0.000
2 Bi 0.250 0.250 0.250
3 Bi 0.750 0.750 0.750
4 W 0.500 0.500 0.500

=====

[11]
Tb4Tm4Cd: relaxed, PBE.

The calculation puts the total energy at -4.16 eV per atom. Its space-group type is I4/mmm.

a b c (Å): 7.770 7.770 7.770
angles (deg): 95.79 95.79 142.97
Element x y z (fractional)
1 Tb 0.165 0.165 0.330
2 Tb 0.165 0.835 0.000
3 Tb 0.835 0.165 0.000
4 Tb 0.835 0.835 0.670
5 Tm 0.167 0.500 0.667
6 Tm 0.500 0.167 0.667
7 Tm 0.500 0.833 0.333
8 Tm 0.833 0.500 0.333
9 Cd 0.500 0.500 0.000

=====

[12]
LiErBeHg: relaxed, PBE.

The calculation puts the total energy at -2.75 eV per atom. Its space-group type is F-43m.

a b c (Å): 4.584 4.584 4.584
angles (deg): 60.00 60.00 60.00
Element x y z (fractional)
1 Li 0.000 0.000 0.000
2 Er 0.750 0.750 0.750
3 Be 0.500 0.500 0.500
4 Hg 0.250 0.250 0.250